PuMnO4 | PBE+U | relaxed

```
PuMnO4
1.0
3.3433 -3.3884 0.0000
3.3433 3.3884 0.0000
0.0000 0.0000 3.4477
Pu Mn O
1 1 4
direct
0.0000 0.0000 0.0000
0.5000 0.5000 0.5000
0.1944 0.8056 0.5000
0.2953 0.2953 0.0000
0.7047 0.7047 0.0000
0.8056 0.1944 0.5000
```

Computed properties:
Symmetry: Cmmm (65)
DOS(E_F) (states/eV per atom): 0.4219
Electronic total energy (eV per cell): -55.49